First-principles (PBE) data for TaTlP2S after structural relaxation, as listed in the Alexandria database.

a = 4.896 Å, b = 4.896 Å, c = 4.915 Å
α = 90.00°, β = 90.00°, γ = 90.00°
Positions (direct):
Tl  0.000  0.000  0.000
S  0.000  0.000  0.500
P  0.000  0.500  0.000
P  0.500  0.000  0.000
Ta  0.500  0.500  0.500

Properties
Energy relative to the elements, uncorrected, meV/atom: 1784
Space group: No. 123
ρ, g cm⁻³: 6.76
Polymorph energy (0 for the lowest one), meV per atom: 1815

=====

First-principles (PBE) data for Na2Cu3F10 after structural relaxation, as listed in the Alexandria database.

a = 5.881 Å, b = 7.725 Å, c = 9.450 Å
α = 111.38°, β = 108.13°, γ = 90.00°
Last column: magnetic moment on the atom in μB.
Positions (direct):
Cu  0.745  0.000  0.000  0.90
Cu  0.183  0.021  0.365  -0.20
Cu  0.817  0.979  0.635  -0.20
Cu  0.079  0.477  0.157  0.88
Cu  0.921  0.523  0.843  0.88
Cu  0.255  0.000  0.000  0.90
F  0.240  0.274  0.480  -0.04
F  0.517  0.182  0.034  0.20
F  0.022  0.185  0.044  0.19
F  0.919  0.482  0.302  0.14
F  0.500  0.000  0.500  -0.02
F  0.000  0.000  0.500  -0.02
F  0.777  0.500  0.000  0.16
F  0.617  0.518  0.698  0.14
F  0.869  0.239  0.738  0.03
F  0.978  0.815  0.956  0.19
F  0.760  0.726  0.520  -0.04
F  0.862  0.038  0.224  0.08
F  0.483  0.818  0.966  0.20
F  0.223  0.500  0.000  0.16
F  0.383  0.482  0.302  0.14
F  0.081  0.518  0.698  0.14
F  0.638  0.962  0.776  0.08
F  0.138  0.962  0.776  0.08
F  0.131  0.761  0.262  0.03
F  0.362  0.038  0.224  0.08
Na  0.619  0.678  0.238  0.00
Na  0.381  0.322  0.762  0.00
Na  0.280  0.630  0.559  0.00
Na  0.720  0.370  0.441  0.00

Properties
Energy relative to the elements, uncorrected, meV/atom: -1788
Space group: No. 12
ρ, g cm⁻³: 3.76

=====

First-principles (PBE) data for CeScSi after structural relaxation, as listed in the Alexandria database.

a = 8.480 Å, b = 8.480 Å, c = 8.480 Å
α = 151.11°, β = 151.11°, γ = 41.32°
Last column: magnetic moment on the atom in μB.
Positions (direct):
Ce  0.679  0.679  0.000  0.96
Ce  0.321  0.321  0.000  0.96
Si  0.123  0.123  0.000  -0.04
Si  0.877  0.877  0.000  -0.04
Sc  0.000  0.500  0.500  0.24
Sc  0.500  0.000  0.500  0.24

Properties
Energy relative to the elements, uncorrected, meV/atom: -539
Space group: No. 139
ρ, g cm⁻³: 4.98
Polymorph energy (0 for the lowest one), meV per atom: 0

=====

First-principles (PBE) data for HoTlAs2 after structural relaxation, as listed in the Alexandria database.

a = 3.844 Å, b = 4.861 Å, c = 4.861 Å
α = 90.00°, β = 90.00°, γ = 90.00°
Positions (direct):
Ho  0.500  0.000  0.000
As  0.000  0.500  0.000
As  0.000  0.000  0.500
Tl  0.500  0.500  0.500

Properties
DFT formation energy, meV per atom: -452.2
Space group: No. 123
ρ, g cm⁻³: 9.49
Polymorph energy (0 for the lowest one), meV per atom: 153

=====

First-principles (PBE) data for AcHgAuO4 after structural relaxation, as listed in the Alexandria database.

a = 6.606 Å, b = 7.468 Å, c = 8.078 Å
α = 122.74°, β = 90.00°, γ = 116.25°
Positions (direct):
Ac  0.500  0.000  0.500
Ac  0.500  0.000  0.000
Au  0.500  0.500  0.500
Au  0.000  0.500  0.500
Hg  0.941  0.882  0.191
Hg  0.059  0.118  0.809
O  0.348  0.098  0.799
O  0.250  0.902  0.201
O  0.736  0.473  0.643
O  0.652  0.902  0.201
O  0.264  0.527  0.671
O  0.750  0.098  0.799
O  0.264  0.527  0.357
O  0.736  0.473  0.329

Properties
Energy relative to the elements, uncorrected, meV/atom: -1285
Space group: No. 74
ρ, g cm⁻³: 8.02

=====

First-principles (PBE) data for BeAl2SnBr after structural relaxation, as listed in the Alexandria database.

a = 5.579 Å, b = 4.526 Å, c = 5.579 Å
α = 90.00°, β = 90.00°, γ = 90.00°
Positions (direct):
Be  0.000  0.500  0.000
Al  0.000  0.000  0.500
Al  0.500  0.000  0.000
Sn  0.000  0.000  0.000
Br  0.500  0.500  0.500

Properties
Energy relative to the elements, uncorrected, meV/atom: 609
Space group: No. 123
ρ, g cm⁻³: 3.08

=====

First-principles (PBE) data for Na2NpPt2O6 after structural relaxation, as listed in the Alexandria database.

a = 5.464 Å, b = 5.464 Å, c = 6.582 Å
α = 105.34°, β = 105.34°, γ = 113.53°
Last column: magnetic moment on the atom in μB.
Positions (direct):
Pt  0.330  0.670  0.500  -0.06
Pt  0.670  0.330  0.500  -0.06
O  0.988  0.663  0.264  -0.05
O  0.663  0.988  0.264  -0.05
O  0.012  0.337  0.736  -0.05
O  0.337  0.012  0.736  -0.05
O  0.723  0.723  0.695  -0.03
O  0.277  0.277  0.305  -0.03
Np  0.000  0.000  0.500  1.36
Na  0.179  0.821  0.000  0.00
Na  0.821  0.179  0.000  0.00

Properties
Energy relative to the elements, uncorrected, meV/atom: -1547
Space group: No. 12
ρ, g cm⁻³: 8.10

=====

First-principles (PBE) data for La4Ge2H after structural relaxation, as listed in the Alexandria database.

a = 4.681 Å, b = 4.681 Å, c = 9.091 Å
α = 75.08°, β = 75.08°, γ = 90.00°
Last column: magnetic moment on the atom in μB.
Positions (direct):
La  0.816  0.816  0.368  0.07
La  0.000  0.500  0.000  0.02
La  0.500  0.000  0.000  0.02
La  0.184  0.184  0.632  0.07
Ge  0.634  0.634  0.732  -0.01
Ge  0.366  0.366  0.268  -0.01
H  0.000  0.000  0.000  0.00

Properties
Space group: No. 139
ρ, g cm⁻³: 6.28
Polymorph energy (0 for the lowest one), meV per atom: 0

=====

First-principles (PBE) data for Ti2CoAg after structural relaxation, as listed in the Alexandria database.

a = 6.951 Å, b = 6.951 Å, c = 5.588 Å
α = 51.54°, β = 51.54°, γ = 90.00°
Positions (direct):
Co  0.250  0.750  0.500
Co  0.500  0.500  0.000
Ti  0.875  0.831  0.750
Ti  0.169  0.625  0.250
Ti  0.375  0.419  0.750
Ti  0.581  0.125  0.250
Ag  0.000  0.000  0.000
Ag  0.750  0.250  0.500

Properties
DFT formation energy, meV per atom: 217.8
Space group: No. 122
ρ, g cm⁻³: 6.79
Polymorph energy (0 for the lowest one), meV per atom: 348

=====

First-principles (PBE) data for Tb4Er6Mg after structural relaxation, as listed in the Alexandria database.

a = 6.450 Å, b = 6.450 Å, c = 9.599 Å
α = 109.63°, β = 109.63°, γ = 90.00°
Positions (direct):
Er  0.149  0.149  0.664
Er  0.485  0.851  0.336
Er  0.851  0.485  0.336
Er  0.515  0.515  0.664
Er  0.500  0.000  0.000
Er  0.000  0.500  0.000
Tb  0.689  0.040  0.729
Tb  0.960  0.960  0.271
Tb  0.311  0.311  0.271
Tb  0.040  0.689  0.729
Mg  0.500  0.500  0.000

Properties
DFT formation energy, meV per atom: 280.1
Space group: No. 121
ρ, g cm⁻³: 7.86

=====

First-principles (PBE) data for TaSbMo3 after structural relaxation, as listed in the Alexandria database.

a = 4.800 Å, b = 4.800 Å, c = 4.800 Å
α = 90.00°, β = 90.00°, γ = 90.00°
Last column: magnetic moment on the atom in μB.
Positions (direct):
Mo  0.000  0.500  0.000  0.38
Mo  0.000  0.000  0.500  0.39
Mo  0.500  0.000  0.000  0.27
Sb  0.000  0.000  0.000  -0.01
Ta  0.500  0.500  0.500  0.08

Properties
Energy relative to the elements, uncorrected, meV/atom: 2009
Space group: No. 221
ρ, g cm⁻³: 8.87
Polymorph energy (0 for the lowest one), meV per atom: 307

=====

First-principles (PBE) data for DyTh3 after structural relaxation, as listed in the Alexandria database.

a = 7.142 Å, b = 7.142 Å, c = 9.705 Å
α = 68.41°, β = 68.41°, γ = 60.00°
Positions (direct):
Dy  0.223  0.223  0.331
Dy  0.000  0.000  0.000
Dy  0.777  0.777  0.669
Th  0.781  0.276  0.667
Th  0.500  0.000  0.000
Th  0.724  0.219  0.333
Th  0.500  0.500  0.000
Th  0.219  0.724  0.333
Th  0.276  0.781  0.667
Th  0.000  0.500  0.000
Th  0.276  0.276  0.667
Th  0.724  0.724  0.333

Properties
DFT formation energy, meV per atom: 71.1
Space group: No. 166
ρ, g cm⁻³: 11.02
Polymorph energy (0 for the lowest one), meV per atom: 89

=====

First-principles (PBE) data for Zn2ReSe after structural relaxation, as listed in the Alexandria database.

a = 10.021 Å, b = 10.021 Å, c = 10.021 Å
α = 16.01°, β = 16.01°, γ = 16.01°
Positions (direct):
Se  0.750  0.750  0.750
Re  0.250  0.250  0.250
Zn  0.991  0.991  0.991
Zn  0.509  0.509  0.509

Properties
Energy relative to the elements, uncorrected, meV/atom: 352
Space group: No. 166
ρ, g cm⁻³: 9.85
Polymorph energy (0 for the lowest one), meV per atom: 159

=====

First-principles (PBE) data for Tb2SmDy4Ho after structural relaxation, as listed in the Alexandria database.

a = 5.024 Å, b = 5.019 Å, c = 11.240 Å
α = 63.46°, β = 90.00°, γ = 90.00°
Positions (direct):
Dy  0.500  0.748  0.252
Dy  0.000  0.248  0.251
Dy  0.000  0.752  0.749
Dy  0.500  0.252  0.748
Tb  0.500  0.000  0.500
Tb  0.000  0.000  0.000
Sm  0.500  0.500  0.000
Ho  0.000  0.500  0.500

Properties
DFT formation energy, meV per atom: 16.4
Space group: No. 123
ρ, g cm⁻³: 8.40

=====

First-principles (PBE) data for Bi2AuSe2 after structural relaxation, as listed in the Alexandria database.

a = 5.821 Å, b = 5.821 Å, c = 6.078 Å
α = 61.39°, β = 61.39°, γ = 90.00°
Positions (direct):
Au  0.000  0.000  0.000
Se  0.750  0.250  0.500
Se  0.250  0.750  0.500
Bi  0.309  0.309  0.381
Bi  0.691  0.691  0.619

Properties
Energy relative to the elements, uncorrected, meV/atom: 1
Space group: No. 139
ρ, g cm⁻³: 8.47
Polymorph energy (0 for the lowest one), meV per atom: 197

=====

First-principles (PBE) data for Cu2ReAs after structural relaxation, as listed in the Alexandria database.

a = 4.717 Å, b = 4.717 Å, c = 2.591 Å
α = 90.00°, β = 90.00°, γ = 90.00°
Positions (direct):
As  0.000  0.500  0.500
Cu  0.000  0.000  0.000
Cu  0.500  0.500  0.000
Re  0.500  0.000  0.500

Properties
DFT formation energy, meV per atom: 525.2
Space group: No. 123
ρ, g cm⁻³: 11.18

=====

First-principles (PBE) data for Sm4MgRu after structural relaxation, as listed in the Alexandria database.

a = 9.879 Å, b = 9.879 Å, c = 9.879 Å
α = 60.00°, β = 60.00°, γ = 60.00°
Positions (direct):
Sm  0.812  0.188  0.188
Sm  0.938  0.938  0.562
Sm  0.938  0.562  0.938
Sm  0.938  0.562  0.562
Sm  0.562  0.562  0.938
Sm  0.968  0.344  0.344
Sm  0.562  0.938  0.938
Sm  0.344  0.968  0.344
Sm  0.812  0.812  0.188
Sm  0.344  0.344  0.968
Sm  0.562  0.938  0.562
Sm  0.188  0.812  0.188
Sm  0.188  0.812  0.812
Sm  0.188  0.188  0.812
Sm  0.344  0.344  0.344
Sm  0.812  0.188  0.812
Ru  0.586  0.138  0.138
Ru  0.138  0.138  0.586
Ru  0.138  0.138  0.138
Ru  0.138  0.586  0.138
Mg  0.264  0.579  0.579
Mg  0.579  0.264  0.579
Mg  0.579  0.579  0.264
Mg  0.579  0.579  0.579

Properties
DFT formation energy, meV per atom: -204.8
Space group: No. 216
ρ, g cm⁻³: 7.08

=====

First-principles (PBE) data for Nd2USi3Pt4 after structural relaxation, as listed in the Alexandria database.

a = 4.279 Å, b = 4.279 Å, c = 10.841 Å
α = 90.00°, β = 90.00°, γ = 90.00°
Last column: magnetic moment on the atom in μB.
Positions (direct):
Si  0.000  0.000  0.500  -0.03
Si  0.000  0.500  0.118  0.00
Si  0.500  0.000  0.882  0.00
Pt  0.500  0.000  0.661  -0.02
Pt  0.500  0.500  0.000  0.00
Pt  0.000  0.000  0.000  0.00
Pt  0.000  0.500  0.339  -0.02
Nd  0.000  0.500  0.771  0.04
Nd  0.500  0.000  0.229  0.04
U  0.500  0.500  0.500  1.97

Properties
Energy relative to the elements, uncorrected, meV/atom: -916
Space group: No. 115
ρ, g cm⁻³: 11.64

=====

First-principles (PBE) data for GaSiRh after structural relaxation, as listed in the Alexandria database.

a = 2.946 Å, b = 4.187 Å, c = 4.187 Å
α = 120.00°, β = 90.00°, γ = 90.00°
Positions (direct):
Ga  0.667  0.667  0.333
Si  0.166  0.333  0.667
Rh  0.167  0.000  0.000

Properties
Energy relative to the elements, uncorrected, meV/atom: -224
Space group: No. 187
ρ, g cm⁻³: 7.45

=====

First-principles (PBE) data for Ac3PrPt2 after structural relaxation, as listed in the Alexandria database.

a = 4.439 Å, b = 9.470 Å, c = 11.357 Å
α = 79.86°, β = 78.73°, γ = 76.44°
Positions (direct):
Ac  0.940  0.926  0.193
Ac  0.060  0.074  0.807
Ac  0.187  0.188  0.437
Ac  0.686  0.682  0.945
Ac  0.314  0.318  0.055
Ac  0.813  0.812  0.563
Pr  0.441  0.428  0.690
Pr  0.559  0.572  0.310
Pt  0.624  0.129  0.622
Pt  0.376  0.871  0.378
Pt  0.875  0.383  0.866
Pt  0.125  0.617  0.134

Properties
DFT formation energy, meV per atom: -777.9
Space group: No. 12
ρ, g cm⁻³: 8.93